Record 1
Entry from OQMD: an optimized crystal structure of CdAgSO (PBE-GGA). Values from VASP.

Geometry as Quantum ESPRESSO input:
```
&SYSTEM
  ibrav = 0, nat = 8, ntyp = 4
/
ATOMIC_SPECIES
Cd 112.41 Cd.upf
Ag 107.87 Ag.upf
S 32.06 S.upf
O 16.00 O.upf
CELL_PARAMETERS angstrom
1.737 -6.092 0.000
1.737 6.092 0.000
0.000 0.000 6.680
ATOMIC_POSITIONS crystal
Cd 0.002 0.998 0.500
Cd 0.998 0.002 0.000
Ag 0.270 0.730 0.746
Ag 0.730 0.270 0.246
S 0.374 0.626 0.250
S 0.626 0.374 0.750
O 0.116 0.884 0.247
O 0.884 0.116 0.747
```

Computed properties:
Its calculated volume is 17.67 Å³ per atom. The space group is Cmc2_1 (36). The raw total energy comes out at -3.55 eV per atom. The value obtained for the energy above the most stable polymorph in this dataset is 15 kJ/mol of formula units.

Record 2
Entry from OQMD: an optimized crystal structure of CdAgSO (PBE-GGA). Values from VASP.

Geometry as Quantum ESPRESSO input:
```
&SYSTEM
  ibrav = 0, nat = 8, ntyp = 4
/
ATOMIC_SPECIES
Cd 112.41 Cd.upf
Ag 107.87 Ag.upf
S 32.06 S.upf
O 16.00 O.upf
CELL_PARAMETERS angstrom
3.709 0.000 0.000
-1.854 3.212 0.000
0.000 0.000 12.087
ATOMIC_POSITIONS crystal
Cd 0.000 0.000 0.000
Cd 0.000 0.000 0.500
Ag 0.333 0.667 0.256
Ag 0.667 0.333 0.756
S 0.333 0.667 0.622
S 0.667 0.333 0.122
O 0.000 0.000 0.327
O 0.000 0.000 0.827
```

Computed properties:
Its calculated volume is 18.00 Å³ per atom. The space group is P6_3mc (186). The raw total energy comes out at -3.39 eV per atom. The value obtained for the energy above the most stable polymorph in this dataset is 75 kJ/mol of formula units.

Record 3
Entry from OQMD: an optimized crystal structure of CdAgSO (PBE-GGA). Values from VASP.

Geometry as Quantum ESPRESSO input:
```
&SYSTEM
  ibrav = 0, nat = 8, ntyp = 4
/
ATOMIC_SPECIES
Cd 112.41 Cd.upf
Ag 107.87 Ag.upf
S 32.06 S.upf
O 16.00 O.upf
CELL_PARAMETERS angstrom
3.953 0.000 0.000
0.000 3.953 0.000
0.000 0.000 8.943
ATOMIC_POSITIONS crystal
Cd 0.250 0.250 0.250
Cd 0.750 0.750 0.750
Ag 0.250 0.750 0.000
Ag 0.750 0.250 0.000
S 0.250 0.250 0.674
S 0.750 0.750 0.326
O 0.250 0.250 0.504
O 0.750 0.750 0.496
```

Computed properties:
Its calculated volume is 17.47 Å³ per atom. The space group is P4/nmm (129). The raw total energy comes out at -3.39 eV per atom. The value obtained for the energy above the most stable polymorph in this dataset is 74 kJ/mol of formula units.